[1]
Computed, not measured: an optimized crystal structure of Li3Hg4Ge at the GGA-PBE level of DFT.

Computed properties:
For the energy relative to the elements, the calculation gives -0.225 eV/atom. Its total energy is -1.6704 eV per atom. As for the density of states at the Fermi level: 2.30 states/eV/f.u.

a = 4.6325 Å, b = 4.6325 Å, c = 7.3241 Å
α = 90.00°, β = 90.00°, γ = 90.00°
Space group P4/mmm (No. 123)
Symmetry-distinct sites (fractional):
Li1 0.0000 0.0000 0.0000 x1
Li2 0.0000 0.0000 0.5000 x1
Li3 0.5000 0.5000 0.0000 x1
Hg1 0.0000 0.5000 0.2367 x4
Ge1 0.5000 0.5000 0.5000 x1

***

[2]
Computed, not measured: an optimized crystal structure of NaAcPtAu at the GGA-PBE level of DFT.

Computed properties:
The calculation puts the excess energy over the best structure of this formula in the dataset at 0.026 eV per formula unit. For the energy relative to the elements, the calculation gives -0.636 eV/atom. Its total energy is -4.3221 eV per atom. As for the density of states at the Fermi level: 3.26 states/eV/f.u.

a = 7.3621 Å, b = 7.3621 Å, c = 7.3621 Å
α = 90.00°, β = 90.00°, γ = 90.00°
Space group F-43m (No. 216)
Symmetry-distinct sites (fractional):
Na1 0.0000 0.0000 0.0000 x4
Ac1 0.0000 0.0000 0.5000 x4
Pt1 0.2500 0.2500 0.2500 x4
Au1 0.2500 0.2500 0.7500 x4

***

[3]
Computed, not measured: an optimized crystal structure of Sm2SiI2 at the GGA-PBE level of DFT.

Computed properties:
The formation energy from raw total energies comes out at -0.806 eV/atom. Its total energy is -4.3982 eV per atom. As for the density of states at the Fermi level: 2.57 states/eV/f.u.

a = 4.1343 Å, b = 14.5921 Å, c = 11.1863 Å
α = 90.00°, β = 90.00°, γ = 90.00°
Space group Cmc2_1 (No. 36)
Symmetry-distinct sites (fractional):
Sm1 0.0000 0.0385 0.0000 x4
Sm2 0.0000 0.2304 0.2355 x4
Si1 0.0000 0.3470 0.5829 x4
I1 0.0000 0.0968 0.7311 x4
I2 0.0000 0.3673 0.9273 x4

***

[4]
Computed, not measured: an optimized crystal structure of K2DySi2O6 at the GGA-PBE level of DFT.

Computed properties:
The formation energy from raw total energies comes out at -2.563 eV/atom. Its total energy is -6.8711 eV per atom. As for the density of states at the Fermi level: 0.02 states/eV/f.u.

a = 10.1635 Å, b = 5.8675 Å, c = 6.8480 Å
α = 90.00°, β = 120.87°, γ = 90.00°
Space group C2/m (No. 12)
Symmetry-distinct sites (fractional):
K1 0.2093 0.0000 0.1577 x4
Dy1 0.0000 0.0000 0.5000 x2
Si1 0.0595 0.5000 0.2174 x4
O1 0.0114 0.2667 0.7484 x8
O2 0.2411 0.5000 0.3115 x4

***

[5]
Computed, not measured: an optimized crystal structure of MgReSbW2 at the GGA-PBE level of DFT.

Computed properties:
The formation energy from raw total energies comes out at 2.425 eV/atom. Its total energy is -6.3895 eV per atom. As for the density of states at the Fermi level: 5.81 states/eV/f.u.

a = 4.6394 Å, b = 4.6394 Å, c = 4.5735 Å
α = 90.00°, β = 90.00°, γ = 90.00°
Space group P4/mmm (No. 123)
Symmetry-distinct sites (fractional):
Mg1 0.0000 0.0000 0.0000 x1
Re1 0.0000 0.0000 0.5000 x1
Sb1 0.5000 0.5000 0.5000 x1
W1 0.0000 0.5000 0.0000 x2

***

[6]
Computed, not measured: an optimized crystal structure of ScNi2Pt2 at the GGA-PBE level of DFT.

Computed properties:
The calculation puts the excess energy over the best structure of this formula in the dataset at 0.105 eV per formula unit. For the energy relative to the elements, the calculation gives -0.458 eV/atom. Its total energy is -6.4530 eV per atom. As for the density of states at the Fermi level: 6.92 states/eV/f.u.

a = 3.5113 Å, b = 3.5113 Å, c = 12.7812 Å
α = 90.00°, β = 90.00°, γ = 90.00°
Space group I4/mmm (No. 139)
Symmetry-distinct sites (fractional):
Sc1 0.0000 0.0000 0.0000 x2
Ni1 0.0000 0.5000 0.2500 x4
Pt1 0.0000 0.0000 0.3960 x4

***

[7]
Computed, not measured: an optimized crystal structure of ZnTc2Se at the GGA-PBE level of DFT.

Computed properties:
The formation energy from raw total energies comes out at 0.318 eV/atom. The calculation puts the excess energy over the best structure of this formula in the dataset at 1.069 eV per formula unit. Its total energy is -6.0548 eV per atom. As for the density of states at the Fermi level: 2.99 states/eV/f.u.

a = 3.7649 Å, b = 4.3415 Å, c = 4.4659 Å
α = 90.00°, β = 96.65°, γ = 90.00°
Space group P2/m (No. 10)
Symmetry-distinct sites (fractional):
Zn1 0.0000 0.0000 0.0000 x1
Tc1 0.3322 0.5000 0.1858 x2
Se1 0.5000 0.0000 0.5000 x1

***

[8]
Computed, not measured: an optimized crystal structure of Tb2SmY2Ho4 at the GGA-PBE level of DFT.

Computed properties:
For the energy relative to the elements, the calculation gives -0.003 eV/atom. Its total energy is -5.0273 eV per atom. As for the density of states at the Fermi level: 12.09 states/eV/f.u.

a = 18.6174 Å, b = 3.5854 Å, c = 9.5288 Å
α = 90.00°, β = 115.74°, γ = 90.00°
Space group C2/m (No. 12)
Symmetry-distinct sites (fractional):
Tb1 0.1672 0.0000 0.0018 x4
Sm1 0.0000 0.5000 0.0000 x2
Y1 0.1474 0.5000 0.6651 x4
Ho1 0.0188 0.0000 0.3342 x4
Ho2 0.1855 0.5000 0.3355 x4

***

[9]
Computed, not measured: an optimized crystal structure of Fe3PdAu at the GGA-PBE level of DFT.

Computed properties:
The calculation puts the excess energy over the best structure of this formula in the dataset at 0.000 eV per formula unit. For the energy relative to the elements, the calculation gives 1.177 eV/atom. Its total energy is -5.5945 eV per atom. As for the density of states at the Fermi level: 7.32 states/eV/f.u.

a = 4.6118 Å, b = 4.6118 Å, c = 4.6118 Å
α = 90.00°, β = 90.00°, γ = 90.00°
Space group Pm-3m (No. 221)
Symmetry-distinct sites (fractional):
Fe1 0.0000 0.0000 0.5000 x3
Pd1 0.0000 0.0000 0.0000 x1
Au1 0.5000 0.5000 0.5000 x1

***

[10]
Computed, not measured: an optimized crystal structure of KZn2RhPb at the GGA-PBE level of DFT.

Computed properties:
For the energy relative to the elements, the calculation gives -0.097 eV/atom. Its total energy is -3.0385 eV per atom. As for the density of states at the Fermi level: 1.76 states/eV/f.u.

a = 5.0160 Å, b = 5.0160 Å, c = 5.1551 Å
α = 90.00°, β = 90.00°, γ = 90.00°
Space group P4/mmm (No. 123)
Symmetry-distinct sites (fractional):
K1 0.0000 0.0000 0.0000 x1
Zn1 0.0000 0.5000 0.5000 x2
Rh1 0.5000 0.5000 0.5000 x1
Pb1 0.5000 0.5000 0.0000 x1

***

[11]
Computed, not measured: an optimized crystal structure of ZrAg3 at the GGA-PBE level of DFT.

Computed properties:
For the energy relative to the elements, the calculation gives 1.445 eV/atom. Its total energy is -2.8302 eV per atom. As for the density of states at the Fermi level: 2.86 states/eV/f.u.

a = 5.5113 Å, b = 5.5113 Å, c = 5.5113 Å
α = 90.00°, β = 90.00°, γ = 90.00°
Space group Pm-3m (No. 221)
Symmetry-distinct sites (fractional):
Zr1 0.0000 0.0000 0.0000 x1
Ag1 0.0000 0.0000 0.5000 x3

***

[12]
Computed, not measured: an optimized crystal structure of CaRh at the GGA-PBE level of DFT.

Computed properties:
For the energy relative to the elements, the calculation gives 0.061 eV/atom. Its total energy is -4.6152 eV per atom. As for the density of states at the Fermi level: 3.08 states/eV/f.u.

a = 10.7556 Å, b = 10.7556 Å, c = 3.1586 Å
α = 90.00°, β = 90.00°, γ = 90.00°
Space group I4/m (No. 87)
Symmetry-distinct sites (fractional):
Ca1 0.1202 0.8073 0.0000 x8
Rh1 0.0728 0.3734 0.0000 x8

***

[13]
Computed, not measured: an optimized crystal structure of LiSbI2O at the GGA-PBE level of DFT.

Computed properties:
The formation energy from raw total energies comes out at -0.070 eV/atom. The calculation puts the excess energy over the best structure of this formula in the dataset at 2.701 eV per formula unit. Its total energy is -2.8884 eV per atom. As for the density of states at the Fermi level: 5.86 states/eV/f.u.

a = 5.5288 Å, b = 5.5288 Å, c = 3.7579 Å
α = 90.00°, β = 90.00°, γ = 90.00°
Space group P4/mmm (No. 123)
Symmetry-distinct sites (fractional):
Li1 0.0000 0.0000 0.0000 x1
Sb1 0.5000 0.5000 0.5000 x1
I1 0.0000 0.5000 0.0000 x2
O1 0.0000 0.0000 0.5000 x1

***

[14]
Computed, not measured: an optimized crystal structure of Tb2Pr2Nd7 at the GGA-PBE level of DFT.

Computed properties:
The calculation puts the excess energy over the best structure of this formula in the dataset at 0.000 eV per formula unit. For the energy relative to the elements, the calculation gives 0.031 eV/atom. Its total energy is -4.7136 eV per atom. As for the density of states at the Fermi level: 19.69 states/eV/f.u.

a = 16.2433 Å, b = 6.4111 Å, c = 15.9372 Å
α = 90.00°, β = 111.29°, γ = 90.00°
Space group C2/c (No. 15)
Symmetry-distinct sites (fractional):
Tb1 0.2273 0.1648 0.2945 x8
Pr1 0.1373 0.1663 0.4778 x8
Nd1 0.0000 0.3312 0.2500 x4
Nd2 0.0471 0.1669 0.6596 x8
Nd3 0.0926 0.3346 0.0699 x8
Nd4 0.1822 0.3346 0.8850 x8

***

[15]
Computed, not measured: an optimized crystal structure of Be2NbAu at the GGA-PBE level of DFT.

Computed properties:
The calculation puts the excess energy over the best structure of this formula in the dataset at 0.508 eV per formula unit. For the energy relative to the elements, the calculation gives 0.031 eV/atom. Its total energy is -5.1693 eV per atom. As for the density of states at the Fermi level: 3.07 states/eV/f.u.

a = 5.9408 Å, b = 5.9408 Å, c = 5.9408 Å
α = 90.00°, β = 90.00°, γ = 90.00°
Space group Fm-3m (No. 225)
Symmetry-distinct sites (fractional):
Be1 0.2500 0.2500 0.2500 x8
Nb1 0.0000 0.0000 0.0000 x4
Au1 0.0000 0.0000 0.5000 x4

***

[16]
Computed, not measured: an optimized crystal structure of Sm2HoSi2 at the GGA-PBE level of DFT.

Computed properties:
The formation energy from raw total energies comes out at -0.703 eV/atom. The calculation puts the excess energy over the best structure of this formula in the dataset at 0.000 eV per formula unit. Its total energy is -5.6751 eV per atom. As for the density of states at the Fermi level: 4.23 states/eV/f.u.

a = 7.5506 Å, b = 7.5506 Å, c = 4.3249 Å
α = 90.00°, β = 90.00°, γ = 90.00°
Space group P4/mbm (No. 127)
Symmetry-distinct sites (fractional):
Sm1 0.1768 0.3232 0.0000 x4
Ho1 0.0000 0.0000 0.5000 x2
Si1 0.1151 0.6151 0.5000 x4

***

[17]
Computed, not measured: an optimized crystal structure of KBeCrH6 at the GGA-PBE level of DFT.

Computed properties:
Its total energy is -3.8748 eV per atom. As for the density of states at the Fermi level: 1.39 states/eV/f.u.

a = 4.2468 Å, b = 4.2468 Å, c = 5.5623 Å
α = 90.00°, β = 90.00°, γ = 120.00°
Space group P-6m2 (No. 187)
Symmetry-distinct sites (fractional):
K1 0.0000 0.0000 0.0000 x1
Be1 0.3333 0.6667 0.5000 x1
Cr1 0.6667 0.3333 0.5000 x1
H1 0.0016 0.5008 0.3052 x6

***

[18]
Computed, not measured: an optimized crystal structure of Sr2ZnIn4Hg3 at the GGA-PBE level of DFT.

Computed properties:
For the energy relative to the elements, the calculation gives -0.283 eV/atom. Its total energy is -1.9328 eV per atom. As for the density of states at the Fermi level: 6.30 states/eV/f.u.

a = 4.6987 Å, b = 4.6987 Å, c = 12.4831 Å
α = 90.00°, β = 90.00°, γ = 90.00°
Space group P-4m2 (No. 115)
Symmetry-distinct sites (fractional):
Sr1 0.0000 0.5000 0.2404 x2
Zn1 0.5000 0.5000 0.0000 x1
In1 0.0000 0.0000 0.5000 x1
In2 0.0000 0.5000 0.8721 x2
In3 0.5000 0.5000 0.5000 x1
Hg1 0.0000 0.0000 0.0000 x1
Hg2 0.0000 0.5000 0.6478 x2

***

[19]
Computed, not measured: an optimized crystal structure of K3Ir2Cl9 at the GGA-PBE level of DFT.

Computed properties:
The formation energy from raw total energies comes out at -1.108 eV/atom. Its total energy is -3.7961 eV per atom.

a = 11.5942 Å, b = 11.5942 Å, c = 21.5357 Å
α = 90.00°, β = 90.00°, γ = 120.00°
Space group R-3c (No. 167, hexagonal axes)
Symmetry-distinct sites (fractional):
K1 0.0000 0.3423 0.2500 x18
Ir1 0.0000 0.0000 0.1773 x12
Cl1 0.0000 0.1571 0.7500 x18
Cl2 0.0028 0.1691 0.1164 x36

***

[20]
Computed, not measured: an optimized crystal structure of BeNb2CuH at the GGA-PBE level of DFT.

Computed properties:
The calculation puts the excess energy over the best structure of this formula in the dataset at 0.089 eV per formula unit. Its total energy is -6.2482 eV per atom. As for the density of states at the Fermi level: 1.25 states/eV/f.u.

a = 4.0376 Å, b = 4.0376 Å, c = 3.6932 Å
α = 90.00°, β = 90.00°, γ = 90.00°
Space group P4/mmm (No. 123)
Symmetry-distinct sites (fractional):
Be1 0.0000 0.0000 0.0000 x1
Nb1 0.0000 0.5000 0.5000 x2
Cu1 0.5000 0.5000 0.0000 x1
H1 0.0000 0.0000 0.5000 x1

***

[21]
Computed, not measured: an optimized crystal structure of YErGaSe at the GGA-PBE level of DFT.

Computed properties:
The formation energy from raw total energies comes out at -1.172 eV/atom. Its total energy is -5.5567 eV per atom. As for the density of states at the Fermi level: 1.58 states/eV/f.u.

a = 3.9429 Å, b = 3.9429 Å, c = 21.8866 Å
α = 90.00°, β = 90.00°, γ = 120.00°
Space group R3m (No. 160, hexagonal axes)
Symmetry-distinct sites (fractional):
Y1 0.0000 0.0000 0.0000 x3
Er1 0.0000 0.0000 0.5025 x3
Ga1 0.0000 0.0000 0.7522 x3
Se1 0.0000 0.0000 0.2502 x3

***

[22]
Computed, not measured: an optimized crystal structure of K2AuSBr at the GGA-PBE level of DFT.

Computed properties:
The formation energy from raw total energies comes out at -0.973 eV/atom. Its total energy is -3.2280 eV per atom. As for the density of states at the Fermi level: 0.33 states/eV/f.u.

a = 6.1768 Å, b = 6.1768 Å, c = 4.5840 Å
α = 90.00°, β = 90.00°, γ = 90.00°
Space group P4/mmm (No. 123)
Symmetry-distinct sites (fractional):
K1 0.0000 0.5000 0.0000 x2
Au1 0.0000 0.0000 0.5000 x1
S1 0.0000 0.0000 0.0000 x1
Br1 0.5000 0.5000 0.5000 x1

***

[23]
Computed, not measured: an optimized crystal structure of Hf3AsW at the GGA-PBE level of DFT.

Computed properties:
The calculation puts the excess energy over the best structure of this formula in the dataset at 1.465 eV per formula unit. For the energy relative to the elements, the calculation gives 0.914 eV/atom. Its total energy is -8.5785 eV per atom. As for the density of states at the Fermi level: 7.52 states/eV/f.u.

a = 5.0446 Å, b = 5.0446 Å, c = 5.0446 Å
α = 90.00°, β = 90.00°, γ = 90.00°
Space group Pm-3m (No. 221)
Symmetry-distinct sites (fractional):
Hf1 0.0000 0.0000 0.5000 x3
As1 0.5000 0.5000 0.5000 x1
W1 0.0000 0.0000 0.0000 x1

***

[24]
Computed, not measured: an optimized crystal structure of EuPuPb4 at the GGA-PBE level of DFT.

Computed properties:
For the energy relative to the elements, the calculation gives -0.128 eV/atom. Its total energy is -6.7015 eV per atom. As for the density of states at the Fermi level: 22.41 states/eV/f.u.

a = 9.1712 Å, b = 9.1712 Å, c = 9.1712 Å
α = 90.00°, β = 90.00°, γ = 90.00°
Space group F-43m (No. 216)
Symmetry-distinct sites (fractional):
Eu1 0.0000 0.0000 0.0000 x4
Pu1 0.2500 0.2500 0.7500 x4
Pb1 0.1247 0.1247 0.3753 x16

***

Asked for calculated volume across the records above, the calculation gives 157, 399, 675, 351, 98, 158, 73, 573, 98, 130, 167, 365, 115, 1546, 210, 247, 87, 276, 2507, 60, 295, 175, 128, 771 Å³ per cell in order.
Asked for total magnetic moment across the records above, the calculation gives 0.0, 0.0, 0.0, 1.0, 1.5, 1.1, 0.0, 0.0, 10.0, 0.0, 0.8, 0.0, 0.0, 0.0, 0.0, 0.0, 1.0, 0.0, 0.0, 0.0, 0.0, 0.0, 0.0, 13.0 μB/f.u. in order.